CsNa2InSn meta-GGA SCAN PBEsol geometry; E_form = -0.5 eV per formula unit; calculated density = 3.33 Mg/m³; crystal system = tetragonal; volume = 41.2 A^3/atom
1.0
5.7632 0.0000 0.0000
0.0000 5.9757 0.0000
0.0000 0.0000 5.9757
Sn In Na Cs
1 1 2 1
Direct
0.0000 0.0000 0.0000
0.5000 0.0000 0.0000
0.0000 0.5000 0.0000
0.0000 0.0000 0.5000
0.5000 0.5000 0.5000